(1)
Computed, not measured: a relaxed structure of Ce6ZnSn2 at the PBE level of DFT.

The structure in CIF format:
```
data_Ce6ZnSn2
_cell_length_a 9.0091
_cell_length_b 9.0091
_cell_length_c 3.0899
_cell_angle_alpha 90.00
_cell_angle_beta 90.00
_cell_angle_gamma 120.00
_space_group_name_H-M_alt 'P 6/m m m'
_space_group_IT_number 191
_space_group_name_Hall '-P 6 2'
loop_
_atom_site_label
_atom_site_fract_x
_atom_site_fract_y
_atom_site_fract_z
Ce1 0.0000 0.3173 0.0000
Zn1 0.0000 0.0000 0.5000
Sn1 0.3333 0.6667 0.5000
```

=====

(2)
Computed, not measured: a relaxed structure of Rb2SrWBr6 at the PBE level of DFT.

The structure in CIF format:
```
data_Rb2SrWBr6
_cell_length_a 11.193
_cell_length_b 11.193
_cell_length_c 11.193
_cell_angle_alpha 90.00
_cell_angle_beta 90.00
_cell_angle_gamma 90.00
_space_group_name_H-M_alt 'F m -3 m'
_space_group_IT_number 225
_space_group_name_Hall '-F 4 2 3'
loop_
_atom_site_label
_atom_site_fract_x
_atom_site_fract_y
_atom_site_fract_z
Rb1 0.250 0.250 0.250
Sr1 0.000 0.000 0.000
W1 0.000 0.000 0.500
Br1 0.000 0.000 0.266
```

Summary:
* ΔE_f (raw): -1.119 eV per atom

=====

(3)
Computed, not measured: a relaxed structure of LiSm4Zn3 at the PBE level of DFT.

The structure in CIF format:
```
data_LiSm4Zn3
_cell_length_a 5.1757
_cell_length_b 5.1757
_cell_length_c 25.3751
_cell_angle_alpha 90.00
_cell_angle_beta 90.00
_cell_angle_gamma 120.00
_space_group_name_H-M_alt 'R -3 m'
_space_group_IT_number 166
_space_group_name_Hall '-R 3 2"'
loop_
_atom_site_label
_atom_site_fract_x
_atom_site_fract_y
_atom_site_fract_z
Li1 0.0000 0.0000 0.0000
Sm1 0.0000 0.0000 0.1272
Sm2 0.0000 0.0000 0.3776
Zn1 0.0000 0.0000 0.2540
Zn2 0.0000 0.0000 0.5000
```

=====

(4)
Computed, not measured: a relaxed structure of Ta2TcHIr at the PBE level of DFT.

The structure in CIF format:
```
data_Ta2TcHIr
_cell_length_a 4.290
_cell_length_b 4.290
_cell_length_c 3.668
_cell_angle_alpha 90.00
_cell_angle_beta 90.00
_cell_angle_gamma 90.00
_space_group_name_H-M_alt 'P 4/m m m'
_space_group_IT_number 123
_space_group_name_Hall '-P 4 2'
loop_
_atom_site_label
_atom_site_fract_x
_atom_site_fract_y
_atom_site_fract_z
Ta1 0.000 0.500 0.000
Tc1 0.000 0.000 0.500
H1 0.500 0.500 0.000
Ir1 0.500 0.500 0.500
```

Summary:
* offset from the most stable computed form: 33 meV per atom

=====

(5)
Computed, not measured: a relaxed structure of Li2ScTiS at the PBE level of DFT.

The structure in CIF format:
```
data_Li2ScTiS
_cell_length_a 4.509
_cell_length_b 4.509
_cell_length_c 4.962
_cell_angle_alpha 90.00
_cell_angle_beta 90.00
_cell_angle_gamma 90.00
_space_group_name_H-M_alt 'P 4/m m m'
_space_group_IT_number 123
_space_group_name_Hall '-P 4 2'
loop_
_atom_site_label
_atom_site_fract_x
_atom_site_fract_y
_atom_site_fract_z
Li1 0.000 0.500 0.000
Sc1 0.000 0.000 0.500
Ti1 0.500 0.500 0.500
S1 0.000 0.000 0.000
```

Summary:
* ΔE_f (raw): -0.199 eV per atom

=====

(6)
Computed, not measured: a relaxed structure of Cd4HgH2 at the PBE level of DFT.

The structure in CIF format:
```
data_Cd4HgH2
_cell_length_a 5.586
_cell_length_b 3.230
_cell_length_c 7.467
_cell_angle_alpha 90.00
_cell_angle_beta 96.04
_cell_angle_gamma 90.00
_space_group_name_H-M_alt 'P 1 2/m 1'
_space_group_IT_number 10
loop_
_space_group_symop_operation_xyz
'x,y,z'
'-x,-y,-z'
'-x,y,-z'
'x,-y,z'
loop_
_atom_site_label
_atom_site_fract_x
_atom_site_fract_y
_atom_site_fract_z
Cd1 0.144 0.000 0.197
Cd2 0.253 0.500 0.644
Hg1 0.500 0.500 0.000
H1 0.262 0.000 0.481
```

=====

Number 1: E_tot -5.249 eV per atom. Number 2: E_tot -3.780 eV per atom. Number 3: E_tot -3.307 eV per atom. Number 4: E_tot -9.507 eV per atom. Number 5: E_tot -4.635 eV per atom. Number 6: E_tot -1.298 eV per atom.